BeTlGa, relaxed, DFT PBE; formation enthalpy at 0 K = 189 meV per atom; E = -0.105 hartree per atom; SG = No. 1; magnetization = 0.00 μB/cell
1.0
3.770 0.000 0.000
1.882 3.269 0.000
0.046 0.016 10.211
Be Tl Ga
2 2 2
Direct
0.000 0.000 0.000
0.333 0.334 0.988
0.005 0.002 0.495
0.670 0.665 0.214
0.334 0.335 0.728
0.667 0.668 0.903